BeZn2AuCl (SCAN, PBEsol geometry); formation energy without anion corrections = 1183 meV per atom; density of states at the Fermi level = 0.340 states/eV/atom; magnetization = 0.00 Bohr magnetons per cell; energy = -20.52 eV per atom; ρ = 5.79 g/cm3
1.0
4.6894 0.0000 0.0000
0.0000 4.6894 0.0000
0.0000 0.0000 4.8532
Be Zn Au Cl
1 2 1 1
direct
0.0000 0.0000 0.0000
0.0000 0.5000 0.5000
0.5000 0.0000 0.5000
0.5000 0.5000 0.0000
0.5000 0.5000 0.5000

=====

Fe3HgO (SCAN, PBEsol geometry); formation energy without anion corrections = -174 meV per atom; density of states at the Fermi level = 0.788 states/eV/atom; magnetization = 8.24 Bohr magnetons per cell; energy = -25.93 eV per atom; ρ = 10.95 g/cm3
1.0
3.8766 0.0000 0.0000
0.0000 3.8766 0.0000
0.0000 0.0000 3.8766
Fe Hg O
3 1 1
direct
0.0000 0.0000 0.5000
0.0000 0.5000 0.0000
0.5000 0.0000 0.0000
0.5000 0.5000 0.5000
0.0000 0.0000 0.0000

=====

SiTc3Br (SCAN, PBEsol geometry); formation energy without anion corrections = 1925 meV per atom; density of states at the Fermi level = 0.925 states/eV/atom; magnetization = 2.32 Bohr magnetons per cell; energy = -25.01 eV per atom; ρ = 7.49 g/cm3
1.0
4.4662 0.0000 0.0000
0.0000 4.4662 0.0000
0.0000 0.0000 4.4662
Si Tc Br
1 3 1
direct
0.0000 0.0000 0.0000
0.0000 0.5000 0.5000
0.5000 0.0000 0.5000
0.5000 0.5000 0.0000
0.5000 0.5000 0.5000

=====

Li3HBr (SCAN, PBEsol geometry); density of states at the Fermi level = 0.217 states/eV/atom; magnetization = 0.00 Bohr magnetons per cell; energy = -6.56 eV per atom; ρ = 2.22 g/cm3
1.0
4.2362 0.0000 0.0000
0.0000 4.2362 0.0000
0.0000 0.0000 4.2362
Li H Br
3 1 1
direct
0.0000 0.0000 0.5000
0.0000 0.5000 0.0000
0.5000 0.0000 0.0000
0.0000 0.0000 0.0000
0.5000 0.5000 0.5000

=====

AlPIO2 (SCAN, PBEsol geometry); formation energy without anion corrections = -666 meV per atom; density of states at the Fermi level = 0.464 states/eV/atom; magnetization = 0.99 Bohr magnetons per cell; energy = -14.14 eV per atom; ρ = 3.99 g/cm3
1.0
3.6513 0.0000 0.0000
0.0000 3.6513 0.0000
0.0000 0.0000 6.7749
Al P I O
1 1 1 2
direct
0.0000 0.0000 0.0000
0.5000 0.5000 0.5000
0.0000 0.0000 0.5000
0.0000 0.5000 0.0000
0.5000 0.0000 0.0000

=====

LiZn3 (SCAN, PBEsol geometry); density of states at the Fermi level = 0.231 states/eV/atom; magnetization = 0.00 Bohr magnetons per cell; energy relative to the elements = -105.9 meV per atom; energy = -10.84 eV per atom; ρ = 5.96 g/cm3
1.0
2.7717 0.0000 0.0000
0.0000 2.7717 0.0000
0.0000 0.0000 7.3688
Li Zn
1 3
direct
0.0000 0.0000 0.0000
0.0000 0.0000 0.5000
0.5000 0.5000 0.2529
0.5000 0.5000 0.7471

=====

Cd5Pt (SCAN, PBEsol geometry); density of states at the Fermi level = 0.300 states/eV/atom; magnetization = 0.00 Bohr magnetons per cell; energy relative to the elements = -115.2 meV per atom; energy = -37.16 eV per atom; ρ = 11.10 g/cm3
1.0
5.4516 -1.5234 0.0000
5.4516 1.5234 0.0000
-1.7394 0.0000 6.8164
Cd Pt
5 1
direct
0.0000 0.0000 0.0000
0.0467 0.0467 0.6180
0.3188 0.3188 0.6841
0.3726 0.3726 0.2622
0.6580 0.6580 0.3347
0.7145 0.7145 0.9506

=====

TlSi4Mo (SCAN, PBEsol geometry); formation energy without anion corrections = 771 meV per atom; density of states at the Fermi level = 0.604 states/eV/atom; magnetization = 0.00 Bohr magnetons per cell; energy = -23.78 eV per atom; ρ = 7.39 g/cm3
1.0
0.0000 3.5919 3.5919
3.5919 0.0000 3.5919
3.5919 3.5919 0.0000
Tl Si Mo
1 4 1
direct
0.0000 0.0000 0.0000
0.3763 0.3763 0.3763
0.3763 0.3763 0.8711
0.3763 0.8711 0.3763
0.8711 0.3763 0.3763
0.7500 0.7500 0.7500

=====

CaLa2BeO5 (SCAN, PBEsol geometry); formation energy without anion corrections = -3472 meV per atom; density of states at the Fermi level = 0.000 states/eV/atom; magnetization = 0.00 Bohr magnetons per cell; energy = -18.07 eV per atom; ρ = 5.99 g/cm3
1.0
9.5271 0.0000 0.0000
0.0000 6.5340 0.0000
0.0000 0.0000 7.2533
Ca La Be O
4 8 4 20
direct
0.1778 0.0774 0.0000
0.3222 0.5774 0.5000
0.6778 0.4226 0.0000
0.8222 0.9226 0.5000
0.0238 0.5979 0.7666
0.1705 0.0734 0.5490
0.3295 0.5734 0.0490
0.4762 0.0979 0.2666
0.5238 0.9021 0.7666
0.6705 0.4266 0.5490
0.8295 0.9266 0.0490
0.9762 0.4021 0.2666
0.1051 0.8065 0.2689
0.3949 0.3065 0.7689
0.6051 0.6935 0.2689
0.8949 0.1935 0.7689
0.0131 0.0182 0.2710
0.0708 0.6898 0.0787
0.0757 0.6930 0.4622
0.2232 0.3585 0.7691
0.2280 0.3342 0.2674
0.2720 0.8342 0.7674
0.2768 0.8585 0.2691
0.4243 0.1930 0.9622
0.4292 0.1898 0.5787
0.4869 0.5182 0.7710
0.5131 0.4818 0.2710
0.5708 0.8102 0.0787
0.5757 0.8070 0.4622
0.7232 0.1415 0.7691
0.7280 0.1658 0.2674
0.7720 0.6658 0.7674
0.7768 0.6415 0.2691
0.9243 0.3070 0.9622
0.9292 0.3102 0.5787
0.9869 0.9818 0.7710

=====

FePt2Cl (SCAN, PBEsol geometry); formation energy without anion corrections = 87 meV per atom; density of states at the Fermi level = 0.771 states/eV/atom; magnetization = 4.29 Bohr magnetons per cell; energy = -41.54 eV per atom; ρ = 13.23 g/cm3; E above lowest polymorph = 3 meV/atom
1.0
1.3896 0.8023 9.0357
-1.3896 0.8023 9.0357
0.0000 -1.6045 9.0357
Fe Pt Cl
1 2 1
direct
0.0000 0.0000 0.0000
0.2589 0.2589 0.2589
0.7411 0.7411 0.7411
0.5000 0.5000 0.5000

=====

BaY2As (SCAN, PBEsol geometry); density of states at the Fermi level = 0.842 states/eV/atom; magnetization = 0.70 Bohr magnetons per cell; energy relative to the elements = -508.5 meV per atom; energy = -29.37 eV per atom; ρ = 5.20 g/cm3
1.0
3.6302 0.0000 0.0000
0.0000 3.6302 0.0000
0.0000 0.0000 9.4592
Ba Y As
1 2 1
direct
0.0000 0.0000 0.0000
0.5000 0.5000 0.3336
0.5000 0.5000 0.6664
0.0000 0.0000 0.5000

=====

LiV2P4H2O16 (SCAN, PBEsol geometry); density of states at the Fermi level = 0.236 states/eV/atom; magnetization = 2.00 Bohr magnetons per cell; energy = -9.71 eV per atom; ρ = 3.09 g/cm3; E above lowest polymorph = 0 meV/atom
1.0
7.6411 0.0000 0.0000
0.0000 7.7888 0.0000
-3.7699 0.0000 8.8610
Li V P H O
2 4 8 4 32
direct
0.1211 0.0000 0.2241
0.8789 0.5000 0.7759
0.0012 0.1184 0.7474
0.4917 0.6306 0.7501
0.5083 0.1306 0.2499
0.9988 0.6184 0.2526
0.0521 0.2795 0.0668
0.0540 0.4680 0.5681
0.4419 0.7759 0.4249
0.4475 0.9812 0.9269
0.5525 0.4812 0.0731
0.5581 0.2759 0.5751
0.9460 0.9680 0.4319
0.9479 0.7795 0.9332
0.2547 0.6201 0.0044
0.2690 0.1351 0.5125
0.7310 0.6351 0.4875
0.7453 0.1201 0.9956
0.0170 0.3005 0.8981
0.0255 0.4525 0.4008
0.0542 0.4610 0.1319
0.0627 0.2867 0.6344
0.0941 0.6673 0.9061
0.1009 0.0682 0.4078
0.2460 0.1902 0.1520
0.2508 0.5566 0.6514
0.2539 0.6761 0.3440
0.2558 0.0729 0.8416
0.3916 0.5752 0.0950
0.3937 0.1867 0.5978
0.4119 0.9552 0.3502
0.4296 0.7980 0.8581
0.4736 0.7882 0.5934
0.4743 0.9663 0.0937
0.5264 0.2882 0.4066
0.5257 0.4663 0.9063
0.5704 0.2980 0.1419
0.5881 0.4552 0.6498
0.6063 0.6867 0.4022
0.6084 0.0752 0.9050
0.7442 0.5729 0.1584
0.7461 0.1761 0.6560
0.7492 0.0566 0.3486
0.7540 0.6902 0.8480
0.8991 0.5682 0.5922
0.9059 0.1673 0.0939
0.9373 0.7867 0.3656
0.9458 0.9610 0.8681
0.9745 0.9525 0.5992
0.9830 0.8005 0.1019

=====

YTl2Hg (SCAN, PBEsol geometry); density of states at the Fermi level = 0.591 states/eV/atom; magnetization = 0.00 Bohr magnetons per cell; energy relative to the elements = -304.8 meV per atom; energy = -60.49 eV per atom; ρ = 11.37 g/cm3
1.0
3.8054 0.0000 0.0000
0.0000 3.8054 0.0000
0.0000 0.0000 7.0441
Y Tl Hg
1 2 1
direct
0.0000 0.0000 0.0000
0.0000 0.0000 0.4781
0.5000 0.5000 0.7402
0.5000 0.5000 0.2300

=====

CdTc3Pd (SCAN, PBEsol geometry); density of states at the Fermi level = 1.264 states/eV/atom; magnetization = 7.89 Bohr magnetons per cell; energy relative to the elements = 2038.8 meV per atom; energy = -31.63 eV per atom; ρ = 8.59 g/cm3
1.0
4.6281 0.0000 0.0000
0.0000 4.6281 0.0000
0.0000 0.0000 4.6281
Cd Tc Pd
1 3 1
direct
0.0000 0.0000 0.0000
0.0000 0.5000 0.5000
0.5000 0.0000 0.5000
0.5000 0.5000 0.0000
0.5000 0.5000 0.5000

=====

ZnFeTe (SCAN, PBEsol geometry); formation energy without anion corrections = 512 meV per atom; density of states at the Fermi level = 0.374 states/eV/atom; magnetization = 2.14 Bohr magnetons per cell; energy = -22.45 eV per atom; ρ = 7.19 g/cm3
1.0
0.0000 3.0634 3.0634
3.0634 0.0000 3.0634
3.0634 3.0634 0.0000
Zn Fe Te
1 1 1
direct
0.0000 0.0000 0.0000
0.5000 0.5000 0.5000
0.7500 0.7500 0.7500

=====

MgScTe (SCAN, PBEsol geometry); formation energy without anion corrections = -291 meV per atom; density of states at the Fermi level = 0.904 states/eV/atom; magnetization = 0.00 Bohr magnetons per cell; energy = -19.11 eV per atom; ρ = 4.60 g/cm3
1.0
4.7844 0.0000 0.0000
-2.3922 4.1434 0.0000
0.0000 0.0000 3.5852
Mg Sc Te
1 1 1
direct
0.0000 0.0000 0.0000
0.6667 0.3333 0.5000
0.3333 0.6667 0.0000

=====

Tl2FeSb (SCAN, PBEsol geometry); formation energy without anion corrections = 494 meV per atom; density of states at the Fermi level = 0.623 states/eV/atom; magnetization = 3.30 Bohr magnetons per cell; energy = -49.53 eV per atom; ρ = 10.41 g/cm3
1.0
4.2318 0.0000 0.0000
0.0000 4.2318 0.0000
0.0000 0.0000 5.2222
Tl Fe Sb
2 1 1
direct
0.0000 0.5000 0.0000
0.5000 0.0000 0.0000
0.0000 0.0000 0.5000
0.5000 0.5000 0.5000

=====

LuPb3 (SCAN, PBEsol geometry); density of states at the Fermi level = 0.637 states/eV/atom; magnetization = 0.00 Bohr magnetons per cell; energy relative to the elements = -286.2 meV per atom; energy = -70.96 eV per atom; ρ = 12.24 g/cm3
1.0
4.7628 0.0000 0.0000
0.0000 4.7628 0.0000
0.0000 0.0000 4.7628
Lu Pb
1 3
direct
0.0000 0.0000 0.0000
0.0000 0.5000 0.5000
0.5000 0.0000 0.5000
0.5000 0.5000 0.0000

=====

ZrNi2Hg (SCAN, PBEsol geometry); density of states at the Fermi level = 0.701 states/eV/atom; magnetization = 0.00 Bohr magnetons per cell; energy relative to the elements = -170.4 meV per atom; energy = -32.97 eV per atom; ρ = 11.17 g/cm3
1.0
-1.9161 1.9161 4.1438
1.9161 -1.9161 4.1438
1.9161 1.9161 -4.1438
Zr Ni Hg
1 2 1
direct
0.0000 0.0000 0.0000
0.2500 0.7500 0.5000
0.5000 0.5000 0.0000
0.7500 0.2500 0.5000

=====

KBaPO4 (SCAN, PBEsol geometry); formation energy without anion corrections = -2932 meV per atom; density of states at the Fermi level = 0.000 states/eV/atom; magnetization = 0.00 Bohr magnetons per cell; energy = -14.82 eV per atom; ρ = 4.15 g/cm3
1.0
7.6970 0.0000 0.0000
0.0000 5.6450 0.0000
0.0000 0.0000 9.9866
K Ba P O
4 4 4 16
direct
0.1609 0.2500 0.0841
0.3391 0.7500 0.5841
0.6609 0.2500 0.4159
0.8391 0.7500 0.9159
0.0093 0.7500 0.3066
0.4907 0.2500 0.8066
0.5093 0.7500 0.1934
0.9907 0.2500 0.6934
0.2356 0.2500 0.4178
0.2644 0.7500 0.9178
0.7356 0.2500 0.0822
0.7644 0.7500 0.5822
0.0333 0.2500 0.4158
0.1971 0.5242 0.8460
0.1974 0.7500 0.0653
0.1971 0.9758 0.8460
0.3029 0.0242 0.3460
0.3026 0.2500 0.5653
0.3029 0.4758 0.3460
0.4667 0.7500 0.9158
0.5333 0.2500 0.0842
0.6971 0.5242 0.6540
0.6974 0.7500 0.4347
0.6971 0.9758 0.6540
0.8029 0.0242 0.1540
0.8026 0.2500 0.9347
0.8029 0.4758 0.1540
0.9667 0.7500 0.5842